# 1
Density functional theory data (PBE) for crystalline Rb2Hg2S at its relaxed geometry.

Structure (CIF):
```
data_Rb2Hg2S
_symmetry_space_group_name_H-M 'I 4/m m m'
_symmetry_Int_Tables_number 139
_symmetry_space_group_name_Hall '-I 4 2'
_cell_length_a 6.886
_cell_length_b 6.886
_cell_length_c 9.259
_cell_angle_alpha 90.00
_cell_angle_beta 90.00
_cell_angle_gamma 90.00
loop_
_atom_site_label
_atom_site_type_symbol
_atom_site_fract_x
_atom_site_fract_y
_atom_site_fract_z
Rb1 Rb 0.000 0.500 0.250
Hg1 Hg 0.000 0.000 0.190
S1 S 0.000 0.000 0.500
```

V   43.90 Å³ per atom
Energy relative to the lowest polymorph listed for this composition   0.26 eV per formula unit
Calculated total energy   -1.653 eV/atom
Formation energy from raw total energies   -320 meV/atom

=====

# 2
Density functional theory data (PBE) for crystalline RbHgS14 at its relaxed geometry.

Structure (CIF):
```
data_RbHgS14
_symmetry_space_group_name_H-M 'I m m a'
_symmetry_Int_Tables_number 74
_symmetry_space_group_name_Hall '-I 2b 2'
_cell_length_a 6.193
_cell_length_b 21.498
_cell_length_c 16.866
_cell_angle_alpha 90.00
_cell_angle_beta 90.00
_cell_angle_gamma 90.00
loop_
_atom_site_label
_atom_site_type_symbol
_atom_site_fract_x
_atom_site_fract_y
_atom_site_fract_z
Rb1 Rb 0.000 0.250 0.136
Hg1 Hg 0.250 0.250 0.750
S1 S 0.000 0.081 0.822
S2 S 0.000 0.129 0.580
S3 S 0.000 0.204 0.415
S4 S 0.248 0.110 0.307
S5 S 0.249 0.065 0.904
```

V   35.09 Å³ per atom
Calculated total energy   -3.593 eV/atom
Formation energy from raw total energies   98 meV/atom

=====

# 3
Density functional theory data (PBE) for crystalline RbHg3S at its relaxed geometry.

Structure (CIF):
```
data_RbHg3S
_symmetry_space_group_name_H-M 'P m -3 m'
_symmetry_Int_Tables_number 221
_symmetry_space_group_name_Hall '-P 4 2 3'
_cell_length_a 5.668
_cell_length_b 5.668
_cell_length_c 5.668
_cell_angle_alpha 90.00
_cell_angle_beta 90.00
_cell_angle_gamma 90.00
loop_
_atom_site_label
_atom_site_type_symbol
_atom_site_fract_x
_atom_site_fract_y
_atom_site_fract_z
Rb1 Rb 0.000 0.000 0.000
Hg1 Hg 0.000 0.500 0.500
S1 S 0.500 0.500 0.500
```

V   36.43 Å³ per atom
Energy relative to the lowest polymorph listed for this composition   0.00 eV per formula unit
Calculated total energy   -1.157 eV/atom
Formation energy from raw total energies   43 meV/atom

=====

# 4
Density functional theory data (PBE) for crystalline RbHgS at its relaxed geometry.

Structure (CIF):
```
data_RbHgS
_symmetry_space_group_name_H-M 'I m m m'
_symmetry_Int_Tables_number 71
_symmetry_space_group_name_Hall '-I 2 2'
_cell_length_a 4.754
_cell_length_b 5.756
_cell_length_c 16.081
_cell_angle_alpha 90.00
_cell_angle_beta 90.00
_cell_angle_gamma 90.00
loop_
_atom_site_label
_atom_site_type_symbol
_atom_site_fract_x
_atom_site_fract_y
_atom_site_fract_z
Rb1 Rb 0.000 0.000 0.164
Hg1 Hg 0.000 0.266 0.500
S1 S 0.000 0.000 0.368
```

V   36.67 Å³ per atom
Energy relative to the lowest polymorph listed for this composition   0.00 eV per formula unit
Calculated total energy   -2.367 eV/atom
Formation energy from raw total energies   -569 meV/atom

=====

# 5
Density functional theory data (PBE) for crystalline Rb4Hg2S at its relaxed geometry.

Structure (CIF):
```
data_Rb4Hg2S
_symmetry_space_group_name_H-M 'I 4/m m m'
_symmetry_Int_Tables_number 139
_symmetry_space_group_name_Hall '-I 4 2'
_cell_length_a 6.591
_cell_length_b 6.591
_cell_length_c 17.504
_cell_angle_alpha 90.00
_cell_angle_beta 90.00
_cell_angle_gamma 90.00
loop_
_atom_site_label
_atom_site_type_symbol
_atom_site_fract_x
_atom_site_fract_y
_atom_site_fract_z
Rb1 Rb 0.000 0.000 0.180
Rb2 Rb 0.000 0.500 0.000
Hg1 Hg 0.000 0.000 0.400
S1 S 0.000 0.000 0.000
```

V   54.31 Å³ per atom
Calculated total energy   -1.667 eV/atom
Formation energy from raw total energies   -438 meV/atom

=====

# 6
Density functional theory data (PBE) for crystalline RbHgS at its relaxed geometry.

Structure (CIF):
```
data_RbHgS
_symmetry_space_group_name_H-M 'I 4 m m'
_symmetry_Int_Tables_number 107
_symmetry_space_group_name_Hall 'I 4 -2'
_cell_length_a 4.055
_cell_length_b 4.055
_cell_length_c 11.455
_cell_angle_alpha 90.00
_cell_angle_beta 90.00
_cell_angle_gamma 90.00
loop_
_atom_site_label
_atom_site_type_symbol
_atom_site_fract_x
_atom_site_fract_y
_atom_site_fract_z
Rb1 Rb 0.000 0.000 0.000
Hg1 Hg 0.000 0.000 0.284
S1 S 0.000 0.000 0.720
```

V   31.39 Å³ per atom
Energy relative to the lowest polymorph listed for this composition   0.81 eV per formula unit
Calculated total energy   -2.097 eV/atom
Formation energy from raw total energies   -298 meV/atom